An optimized crystal structure of Cs3U3AuSe8, computed with GGA-PBE.

Space group ... No. 12
Formation energy without anion corrections ... -1548 kJ/mol of formula units

abc: 8.224 8.224 9.322
angles: 111.60 111.60 65.74
Positions (direct):
Cs 0.000 0.000 0.000
Cs 0.000 0.500 0.000
Cs 0.500 0.000 0.000
U 0.000 0.500 0.500
U 0.500 0.000 0.500
U 0.500 0.500 0.500
Au 0.000 0.000 0.500
Se 0.203 0.203 0.663
Se 0.258 0.675 0.701
Se 0.270 0.270 0.313
Se 0.325 0.742 0.299
Se 0.675 0.258 0.701
Se 0.730 0.730 0.687
Se 0.742 0.325 0.299
Se 0.797 0.797 0.337